No. 1
The following is a DFT calculation (PBE-GGA) of a relaxed CaTa2Cd crystal. Values from VASP.

```
&SYSTEM
  ibrav = 0, nat = 8, ntyp = 3
/
ATOMIC_SPECIES
Ca 40.08 Ca.upf
Ta 180.95 Ta.upf
Cd 112.41 Cd.upf
CELL_PARAMETERS angstrom
3.460 0.000 0.000
0.000 4.593 0.000
0.000 0.000 10.587
ATOMIC_POSITIONS angstrom
Ca 0.000 0.000 0.000
Ca 1.730 2.297 0.000
Ta 0.000 2.297 2.805
Ta 0.000 2.297 7.782
Ta 1.730 0.000 2.805
Ta 1.730 0.000 7.782
Cd 0.000 0.000 5.293
Cd 1.730 2.297 5.293
```

Results
Magnetic moment ... 0.00 μB per cell
DFT formation energy ... 0.598 eV per atom
Density of states at the Fermi level ... 4.090 states/eV/f.u.

No. 2
The following is a DFT calculation (PBE-GGA) of a relaxed TmThRu4 crystal. Values from VASP.

```
&SYSTEM
  ibrav = 0, nat = 6, ntyp = 3
/
ATOMIC_SPECIES
Tm 168.93 Tm.upf
Th 232.04 Th.upf
Ru 101.07 Ru.upf
CELL_PARAMETERS angstrom
0.000 3.800 3.800
3.800 0.000 3.800
3.800 3.800 0.000
ATOMIC_POSITIONS angstrom
Tm 0.000 0.000 0.000
Th 5.701 5.701 5.701
Ru 2.848 2.848 2.848
Ru 4.753 4.753 2.848
Ru 4.753 2.848 4.753
Ru 2.848 4.753 4.753
```

Results
Magnetic moment ... 0.00 μB per cell
DFT formation energy ... -0.317 eV per atom
Density of states at the Fermi level ... 4.152 states/eV/f.u.

No. 3
The following is a DFT calculation (PBE-GGA) of a relaxed RbYScCl6 crystal. Values from VASP.

```
&SYSTEM
  ibrav = 0, nat = 18, ntyp = 4
/
ATOMIC_SPECIES
Rb 85.47 Rb.upf
Y 88.91 Y.upf
Sc 44.96 Sc.upf
Cl 35.45 Cl.upf
CELL_PARAMETERS angstrom
6.787 0.000 0.000
-3.393 5.878 0.000
0.000 0.000 14.998
ATOMIC_POSITIONS angstrom
Rb 0.000 0.000 0.000
Rb 0.000 0.000 7.499
Y 0.000 3.918 3.750
Y 3.393 1.959 11.249
Sc 0.000 3.918 11.249
Sc 3.393 1.959 3.750
Cl -1.204 2.192 9.725
Cl -2.097 3.739 12.773
Cl 1.204 2.192 12.773
Cl -0.893 5.824 9.725
Cl 2.500 0.053 2.226
Cl 1.296 2.138 5.273
Cl 2.097 3.739 9.725
Cl 0.893 5.824 12.773
Cl 4.287 0.053 5.273
Cl 2.190 3.686 2.226
Cl 5.490 2.138 2.226
Cl 4.597 3.686 5.273
```

Results
Magnetic moment ... 2.05 μB per cell
Density of states at the Fermi level ... 5.932 states/eV/f.u.
Formation energy without anion corrections ... -2079 meV per atom

No. 4
The following is a DFT calculation (PBE-GGA) of a relaxed Mg6InSn5 crystal. Values from VASP.

```
&SYSTEM
  ibrav = 0, nat = 12, ntyp = 3
/
ATOMIC_SPECIES
Mg 24.30 Mg.upf
In 114.82 In.upf
Sn 118.71 Sn.upf
CELL_PARAMETERS angstrom
4.850 -7.081 0.000
4.850 7.081 0.000
-2.268 0.000 4.176
ATOMIC_POSITIONS angstrom
Mg 0.718 2.355 3.130
Mg 1.846 0.000 1.034
Mg 0.718 -2.355 3.130
Mg 6.714 2.355 1.047
Mg 5.586 0.000 3.142
Mg 6.714 -2.355 1.047
In 4.850 0.000 0.000
Sn -1.134 0.000 2.088
Sn 4.850 4.698 0.000
Sn 3.716 2.323 2.088
Sn 3.716 -2.323 2.088
Sn 4.850 -4.698 0.000
```

Results
Magnetic moment ... 0.00 μB per cell
DFT formation energy ... -0.120 eV per atom
Density of states at the Fermi level ... 4.554 states/eV/f.u.

No. 5
The following is a DFT calculation (PBE-GGA) of a relaxed CePr3Os8 crystal. Values from VASP.

```
&SYSTEM
  ibrav = 0, nat = 12, ntyp = 3
/
ATOMIC_SPECIES
Ce 140.12 Ce.upf
Pr 140.91 Pr.upf
Os 190.23 Os.upf
CELL_PARAMETERS angstrom
2.726 1.574 8.899
-2.726 1.574 8.899
0.000 -3.148 8.899
ATOMIC_POSITIONS angstrom
Ce 0.000 0.000 0.000
Pr 0.000 0.000 10.000
Pr 0.000 0.000 13.346
Pr 0.000 0.000 23.356
Os 0.000 0.000 4.933
Os 0.000 -1.597 16.128
Os -1.383 0.799 16.128
Os -1.352 -0.781 20.543
Os 0.000 0.000 18.282
Os 1.352 -0.781 20.543
Os 0.000 1.561 20.543
Os 1.383 0.799 16.128
```

Results
Magnetic moment ... 0.00 μB per cell
DFT formation energy ... -0.080 eV per atom
Density of states at the Fermi level ... 14.262 states/eV/f.u.

No. 6
The following is a DFT calculation (PBE-GGA) of a relaxed Tb6DyEr2Mg crystal. Values from VASP.

```
&SYSTEM
  ibrav = 0, nat = 20, ntyp = 4
/
ATOMIC_SPECIES
Tb 158.93 Tb.upf
Dy 162.50 Dy.upf
Er 167.26 Er.upf
Mg 24.30 Mg.upf
CELL_PARAMETERS angstrom
4.543 -7.316 0.000
4.543 7.316 0.000
-1.383 0.000 9.404
ATOMIC_POSITIONS angstrom
Tb 2.341 4.080 1.766
Tb 3.218 4.643 5.189
Tb 3.793 4.643 8.916
Tb 3.106 1.504 3.634
Tb 6.053 4.080 2.936
Tb 5.288 1.504 1.068
Tb 2.414 -1.504 8.336
Tb 1.649 -4.080 6.468
Tb 4.597 -1.504 5.770
Tb 3.909 -4.643 0.488
Tb 4.485 -4.643 4.214
Tb 5.362 -4.080 7.638
Dy 4.197 7.017 2.351
Dy 3.505 -7.017 7.053
Er 2.194 0.730 0.483
Er 1.503 -0.730 5.185
Er 6.200 0.730 4.219
Er 5.508 -0.730 8.921
Mg 3.505 1.376 7.053
Mg 4.197 -1.376 2.351
```

Results
Magnetic moment ... 0.00 μB per cell
DFT formation energy ... 0.124 eV per atom
Density of states at the Fermi level ... 12.555 states/eV/f.u.